## TbCN (GGA-PBE)

Data for crystalline TbCN at its relaxed geometry.

Cell lengths 4.0346, 4.0346, 6.7607 Å; angles 90.00, 90.00, 129.05 degrees
Atoms (fractional coordinates):
Tb  0.0000  0.0000  0.0000
Tb  0.0000  0.0000  0.5000
C  0.2789  0.7211  0.7500
C  0.7211  0.2789  0.2500
N  0.4554  0.5446  0.7500
N  0.5446  0.4554  0.2500

Results
E_form (uncorrected)   -338 meV/atom
Density of states at the Fermi level   0.9 states/eV/f.u.
ΔE to the lowest computed polymorph   0.198 eV per atom